[1]
Below is crystalline MnCo2NiC at its relaxed geometry, with properties calculated at the GGA-PBE level.

Calculated values
Excess energy over the best structure of this formula in the dataset in eV per atom: 0.037
Total moment in μB/f.u.: 5.072
Calculated formation energy in eV/atom: 0.11

Unit cell a=3.7049 b=3.7049 c=3.8383 alpha=90.00 beta=90.00 gamma=90.00
Last column: nearest neighbours and their distance in Å.
Space group P4/mmm (No. 123)
Unique sites:
1 Mn 0.0000 0.0000 0.0000 (multiplicity 1)  2 C 1.92
2 Co 0.0000 0.5000 0.5000 (multiplicity 2)  2 C 1.85
3 Ni 0.5000 0.5000 0.0000 (multiplicity 1)  4 Mn 2.62, 8 Co 2.67
4 C 0.0000 0.0000 0.5000 (multiplicity 1)  4 Co 1.85, 2 Mn 1.92

---

[2]
Below is crystalline MnCoNi2C at its relaxed geometry, with properties calculated at the GGA-PBE level.

Calculated values
Total moment in μB/f.u.: 5.961
Calculated formation energy in eV/atom: 0.06

Unit cell a=3.7869 b=3.7869 c=3.7619 alpha=90.00 beta=90.00 gamma=90.00
Last column: nearest neighbours and their distance in Å.
Space group P4/mmm (No. 123)
Unique sites:
1 Mn 0.0000 0.0000 0.0000 (multiplicity 1)  8 Ni 2.67, 4 Co 2.68
2 Co 0.5000 0.5000 0.0000 (multiplicity 1)  2 C 1.88
3 Ni 0.0000 0.5000 0.5000 (multiplicity 2)  2 C 1.89
4 C 0.5000 0.5000 0.5000 (multiplicity 1)  2 Co 1.88, 4 Ni 1.89

---

[3]
Below is crystalline MnCo2NiC at its relaxed geometry, with properties calculated at the GGA-PBE level.

Calculated values
Excess energy over the best structure of this formula in the dataset in eV per atom: 0.000
Total moment in μB/f.u.: 5.734
Calculated formation energy in eV/atom: 0.07

Unit cell a=3.7454 b=3.7454 c=3.7969 alpha=90.00 beta=90.00 gamma=90.00
Last column: nearest neighbours and their distance in Å.
Space group P4/mmm (No. 123)
Unique sites:
1 Mn 0.0000 0.0000 0.0000 (multiplicity 1)  4 Ni 2.65, 8 Co 2.67
2 Co 0.0000 0.5000 0.5000 (multiplicity 2)  2 C 1.87
3 Ni 0.5000 0.5000 0.0000 (multiplicity 1)  2 C 1.90
4 C 0.5000 0.5000 0.5000 (multiplicity 1)  4 Co 1.87, 2 Ni 1.90

---

[4]
Below is crystalline MnCo2PdC at its relaxed geometry, with properties calculated at the GGA-PBE level.

Calculated values
Total moment in μB/f.u.: 5.307
Calculated formation energy in eV/atom: 0.07

Unit cell a=3.7864 b=3.7864 c=3.9475 alpha=90.00 beta=90.00 gamma=90.00
Last column: nearest neighbours and their distance in Å.
Space group P4/mmm (No. 123)
Unique sites:
1 Mn 0.0000 0.0000 0.0000 (multiplicity 1)  2 C 1.97
2 Co 0.0000 0.5000 0.5000 (multiplicity 2)  2 C 1.89
3 Pd 0.5000 0.5000 0.0000 (multiplicity 1)  4 Mn 2.68, 8 Co 2.73
4 C 0.0000 0.0000 0.5000 (multiplicity 1)  4 Co 1.89, 2 Mn 1.97

---

[5]
Below is crystalline Mn2CoPtC at its relaxed geometry, with properties calculated at the GGA-PBE level.

Calculated values
Total moment in μB/f.u.: 6.446
Calculated formation energy in eV/atom: -0.05

Unit cell a=3.9283 b=3.9283 c=3.7651 alpha=90.00 beta=90.00 gamma=90.00
Last column: nearest neighbours and their distance in Å.
Space group P4/mmm (No. 123)
Unique sites:
1 Mn 0.0000 0.5000 0.0000 (multiplicity 2)  2 C 1.96
2 Co 0.0000 0.0000 0.5000 (multiplicity 1)  2 C 1.88
3 Pt 0.5000 0.5000 0.5000 (multiplicity 1)  8 Mn 2.72, 4 Co 2.78
4 C 0.0000 0.0000 0.0000 (multiplicity 1)  2 Co 1.88, 4 Mn 1.96

---

[6]
Below is crystalline Mn2CoRhC at its relaxed geometry, with properties calculated at the GGA-PBE level.

Calculated values
Excess energy over the best structure of this formula in the dataset in eV per atom: 0.238
Total moment in μB/f.u.: 0.000
Calculated formation energy in eV/atom: 0.31

Unit cell a=3.7558 b=3.7558 c=3.9448 alpha=90.00 beta=90.00 gamma=90.00
Last column: nearest neighbours and their distance in Å.
Space group P4/mmm (No. 123)
Unique sites:
1 Mn 0.0000 0.5000 0.0000 (multiplicity 2)  2 C 1.88
2 Co 0.0000 0.0000 0.5000 (multiplicity 1)  4 Rh 2.66, 8 Mn 2.72
3 Rh 0.5000 0.5000 0.5000 (multiplicity 1)  2 C 1.97
4 C 0.5000 0.5000 0.0000 (multiplicity 1)  4 Mn 1.88, 2 Rh 1.97

---

[7]
Below is crystalline Mn2CoRhC at its relaxed geometry, with properties calculated at the GGA-PBE level.

Calculated values
Excess energy over the best structure of this formula in the dataset in eV per atom: 0.000
Total moment in μB/f.u.: 5.524
Calculated formation energy in eV/atom: 0.08

Unit cell a=3.8840 b=3.8840 c=3.7245 alpha=90.00 beta=90.00 gamma=90.00
Last column: nearest neighbours and their distance in Å.
Space group P4/mmm (No. 123)
Unique sites:
1 Mn 0.0000 0.5000 0.0000 (multiplicity 2)  2 C 1.94
2 Co 0.0000 0.0000 0.5000 (multiplicity 1)  2 C 1.86
3 Rh 0.5000 0.5000 0.5000 (multiplicity 1)  8 Mn 2.69, 4 Co 2.75
4 C 0.0000 0.0000 0.0000 (multiplicity 1)  2 Co 1.86, 4 Mn 1.94

---

[8]
Below is crystalline MnCo2RhC at its relaxed geometry, with properties calculated at the GGA-PBE level.

Calculated values
Total moment in μB/f.u.: 5.557
Calculated formation energy in eV/atom: 0.13

Unit cell a=3.7620 b=3.7620 c=3.9218 alpha=90.00 beta=90.00 gamma=90.00
Last column: nearest neighbours and their distance in Å.
Space group P4/mmm (No. 123)
Unique sites:
1 Mn 0.0000 0.0000 0.0000 (multiplicity 1)  2 C 1.96
2 Co 0.0000 0.5000 0.5000 (multiplicity 2)  2 C 1.88
3 Rh 0.5000 0.5000 0.0000 (multiplicity 1)  4 Mn 2.66, 8 Co 2.72
4 C 0.0000 0.0000 0.5000 (multiplicity 1)  4 Co 1.88, 2 Mn 1.96

---

[9]
Below is crystalline Sc2MnCoC at its relaxed geometry, with properties calculated at the GGA-PBE level.

Calculated values
Excess energy over the best structure of this formula in the dataset in eV per atom: 0.026
Total moment in μB/f.u.: 3.863
Calculated formation energy in eV/atom: -0.16

Unit cell a=4.5953 b=4.5953 c=3.6123 alpha=90.00 beta=90.00 gamma=90.00
Last column: nearest neighbours and their distance in Å.
Space group P4/mmm (No. 123)
Unique sites:
1 Sc 0.0000 0.5000 0.0000 (multiplicity 2)  2 C 2.30
2 Mn 0.0000 0.0000 0.5000 (multiplicity 1)  8 Sc 2.92, 4 Co 3.25
3 Co 0.5000 0.5000 0.5000 (multiplicity 1)  2 C 1.81
4 C 0.5000 0.5000 0.0000 (multiplicity 1)  2 Co 1.81

---

[10]
Below is crystalline Sc2MnCoC at its relaxed geometry, with properties calculated at the GGA-PBE level.

Calculated values
Excess energy over the best structure of this formula in the dataset in eV per atom: 0.000
Total moment in μB/f.u.: 2.075
Calculated formation energy in eV/atom: -0.19

Unit cell a=4.5102 b=4.5102 c=3.6619 alpha=90.00 beta=90.00 gamma=90.00
Last column: nearest neighbours and their distance in Å.
Space group P4/mmm (No. 123)
Unique sites:
1 Sc 0.0000 0.5000 0.0000 (multiplicity 2)  2 C 2.26
2 Mn 0.0000 0.0000 0.5000 (multiplicity 1)  2 C 1.83
3 Co 0.5000 0.5000 0.5000 (multiplicity 1)  8 Sc 2.90, 4 Mn 3.19
4 C 0.0000 0.0000 0.0000 (multiplicity 1)  2 Mn 1.83

---

[11]
Below is crystalline ScMnCo2C at its relaxed geometry, with properties calculated at the GGA-PBE level.

Calculated values
Total moment in μB/f.u.: 2.032
Calculated formation energy in eV/atom: -0.23

Unit cell a=3.8367 b=3.8367 c=3.8608 alpha=90.00 beta=90.00 gamma=90.00
Last column: nearest neighbours and their distance in Å.
Space group P4/mmm (No. 123)
Unique sites:
1 Sc 0.0000 0.0000 0.0000 (multiplicity 1)  4 Mn 2.71, 8 Co 2.72
2 Mn 0.5000 0.5000 0.0000 (multiplicity 1)  2 C 1.93
3 Co 0.0000 0.5000 0.5000 (multiplicity 2)  2 C 1.92
4 C 0.5000 0.5000 0.5000 (multiplicity 1)  4 Co 1.92, 2 Mn 1.93

---

[12]
Below is crystalline Mn2CoSiC at its relaxed geometry, with properties calculated at the GGA-PBE level.

Calculated values
Total moment in μB/f.u.: 1.825
ΔE_f (raw) in meV per atom: -100

Unit cell a=3.7493 b=3.7493 c=3.7116 alpha=90.00 beta=90.00 gamma=90.00
Last column: nearest neighbours and their distance in Å.
Space group P4/mmm (No. 123)
Unique sites:
1 Mn 0.0000 0.5000 0.0000 (multiplicity 2)  2 C 1.87
2 Co 0.0000 0.0000 0.5000 (multiplicity 1)  2 C 1.86
3 Si 0.5000 0.5000 0.5000 (multiplicity 1)  8 Mn 2.64, 4 Co 2.65
4 C 0.0000 0.0000 0.0000 (multiplicity 1)  2 Co 1.86, 4 Mn 1.87